Arrangement a

Computed, not measured: a geometry-optimized KTeW3 structure at the GGA-PBE level of DFT.

Geometry as CIF:
```
data_KTeW3
_chemical_formula_sum 'K1 Te1 W3'
_symmetry_space_group_name_H-M 'P m -3 m'
_symmetry_Int_Tables_number 221
_symmetry_space_group_name_Hall '-P 4 2 3'
_cell_length_a 4.6729
_cell_length_b 4.6729
_cell_length_c 4.6729
_cell_angle_alpha 90.00
_cell_angle_beta 90.00
_cell_angle_gamma 90.00
loop_
_atom_site_label
_atom_site_type_symbol
_atom_site_fract_x
_atom_site_fract_y
_atom_site_fract_z
K1 K 0.0000 0.0000 0.0000
Te1 Te 0.5000 0.5000 0.5000
W1 W 0.0000 0.0000 0.5000
```

Arrangement b

Computed, not measured: a geometry-optimized KTeW3 structure at the GGA-PBE level of DFT.

Geometry as CIF:
```
data_KTeW3
_chemical_formula_sum 'K1 Te1 W3'
_symmetry_space_group_name_H-M 'P m -3 m'
_symmetry_Int_Tables_number 221
_symmetry_space_group_name_Hall '-P 4 2 3'
_cell_length_a 5.0360
_cell_length_b 5.0360
_cell_length_c 5.0360
_cell_angle_alpha 90.00
_cell_angle_beta 90.00
_cell_angle_gamma 90.00
loop_
_atom_site_label
_atom_site_type_symbol
_atom_site_fract_x
_atom_site_fract_y
_atom_site_fract_z
K1 K 0.0000 0.0000 0.0000
Te1 Te 0.5000 0.5000 0.5000
W1 W 0.0000 0.5000 0.5000
```

Energetically preferred structure: arrangement b | next structure: +110.7 kJ/mol of atoms

Arrangement a

Computed, not measured: a geometry-optimized KY2Te2 structure at the GGA-PBE level of DFT.

Geometry as CIF:
```
data_KY2Te2
_chemical_formula_sum 'K2 Y4 Te4'
_symmetry_space_group_name_H-M 'P 4/m b m'
_symmetry_Int_Tables_number 127
_symmetry_space_group_name_Hall '-P 4 2ab'
_cell_length_a 8.7308
_cell_length_b 8.7308
_cell_length_c 3.9928
_cell_angle_alpha 90.00
_cell_angle_beta 90.00
_cell_angle_gamma 90.00
loop_
_atom_site_label
_atom_site_type_symbol
_atom_site_fract_x
_atom_site_fract_y
_atom_site_fract_z
K1 K 0.0000 0.0000 0.0000
Y1 Y 0.1452 0.3548 0.5000
Te1 Te 0.1451 0.6451 0.0000
```

Arrangement b

Computed, not measured: a geometry-optimized KY2Te2 structure at the GGA-PBE level of DFT.

Geometry as CIF:
```
data_KY2Te2
_chemical_formula_sum 'K2 Y4 Te4'
_symmetry_space_group_name_H-M 'I 4/m m m'
_symmetry_Int_Tables_number 139
_symmetry_space_group_name_Hall '-I 4 2'
_cell_length_a 5.0364
_cell_length_b 5.0364
_cell_length_c 15.0176
_cell_angle_alpha 90.00
_cell_angle_beta 90.00
_cell_angle_gamma 90.00
loop_
_atom_site_label
_atom_site_type_symbol
_atom_site_fract_x
_atom_site_fract_y
_atom_site_fract_z
K1 K 0.0000 0.0000 0.0000
Y1 Y 0.0000 0.5000 0.2500
Te1 Te 0.0000 0.0000 0.3645
```

Energetically preferred structure: arrangement b | next structure: +2.8 kJ/mol of atoms

Arrangement a

Computed, not measured: a geometry-optimized KZn3Te structure at the GGA-PBE level of DFT.

Geometry as CIF:
```
data_KZn3Te
_chemical_formula_sum 'K1 Zn3 Te1'
_symmetry_space_group_name_H-M 'P m -3 m'
_symmetry_Int_Tables_number 221
_symmetry_space_group_name_Hall '-P 4 2 3'
_cell_length_a 6.0836
_cell_length_b 6.0836
_cell_length_c 6.0836
_cell_angle_alpha 90.00
_cell_angle_beta 90.00
_cell_angle_gamma 90.00
loop_
_atom_site_label
_atom_site_type_symbol
_atom_site_fract_x
_atom_site_fract_y
_atom_site_fract_z
K1 K 0.0000 0.0000 0.0000
Zn1 Zn 0.0000 0.0000 0.5000
Te1 Te 0.5000 0.5000 0.5000
```

Arrangement b

Computed, not measured: a geometry-optimized KZn3Te structure at the GGA-PBE level of DFT.

Geometry as CIF:
```
data_KZn3Te
_chemical_formula_sum 'K1 Zn3 Te1'
_symmetry_space_group_name_H-M 'P m -3 m'
_symmetry_Int_Tables_number 221
_symmetry_space_group_name_Hall '-P 4 2 3'
_cell_length_a 5.6370
_cell_length_b 5.6370
_cell_length_c 5.6370
_cell_angle_alpha 90.00
_cell_angle_beta 90.00
_cell_angle_gamma 90.00
loop_
_atom_site_label
_atom_site_type_symbol
_atom_site_fract_x
_atom_site_fract_y
_atom_site_fract_z
K1 K 0.0000 0.0000 0.0000
Zn1 Zn 0.0000 0.5000 0.5000
Te1 Te 0.5000 0.5000 0.5000
```

Energetically preferred structure: arrangement b | next structure: +42.6 kJ/mol of atoms